! Pa2Tc2C3 (PBE, relaxed); values from VASP
&SYSTEM
  ibrav = 0, nat = 7, ntyp = 3
/
ATOMIC_SPECIES
Pa 231.04 Pa.upf
Tc 98.00 Tc.upf
C 12.01 C.upf
ATOMIC_POSITIONS angstrom
Pa 6.5253 0.0000 1.6118
Pa 3.2558 0.0000 3.5670
Tc 9.7201 0.0000 0.8444
Tc 0.0610 0.0000 4.3344
C 7.3422 0.0000 3.8964
C -1.0889 0.0000 2.5894
C 2.4388 0.0000 1.2824
CELL_PARAMETERS angstrom
5.9795 -1.5997 0.0000
5.9795 1.5997 0.0000
-2.1778 0.0000 5.1788
! Space group   C2/m (12)
! DFT total energy   -9.97 eV per atom

=====

! Rb2ScTaSe6 (PBE, relaxed); values from VASP
&SYSTEM
  ibrav = 0, nat = 10, ntyp = 4
/
ATOMIC_SPECIES
Se 78.96 Se.upf
Rb 85.47 Rb.upf
Sc 44.96 Sc.upf
Ta 180.95 Ta.upf
ATOMIC_POSITIONS angstrom
Se 0.0000 2.2070 13.9102
Se 2.2070 0.0000 13.9102
Se 2.2070 2.2070 0.0000
Se 2.2070 2.2070 7.8266
Se 2.2070 0.0000 1.7430
Se 0.0000 2.2070 1.7430
Rb 2.2070 2.2070 11.2253
Rb 2.2070 2.2070 4.4279
Sc 0.0000 0.0000 7.8266
Ta 0.0000 0.0000 0.0000
CELL_PARAMETERS angstrom
4.4140 0.0000 0.0000
0.0000 4.4140 0.0000
0.0000 0.0000 15.6532
! Space group   P4/mmm (123)
! DFT total energy   -4.26 eV per atom

=====

! TlAg15 (PBE, relaxed); values from VASP
&SYSTEM
  ibrav = 0, nat = 32, ntyp = 2
/
ATOMIC_SPECIES
Ag 107.87 Ag.upf
Tl 204.38 Tl.upf
ATOMIC_POSITIONS angstrom
Ag 0.0000 2.0518 21.8996
Ag 0.0000 2.0518 13.7600
Ag 2.0512 2.0518 28.0541
Ag 0.0000 2.0518 17.7964
Ag 0.0000 2.0518 34.1945
Ag 2.0512 0.0000 17.7959
Ag 2.0512 2.0518 36.2801
Ag 0.0000 0.0000 23.9500
Ag 0.0000 0.0000 15.7572
Ag 2.0512 0.0000 30.0935
Ag 0.0000 0.0000 36.2812
Ag 0.0000 0.0000 11.6485
Ag 2.0512 2.0518 19.8510
Ag 2.0512 0.0000 21.9003
Ag 2.0512 0.0000 13.7590
Ag 2.0512 2.0518 7.5749
Ag 2.0512 0.0000 26.0035
Ag 2.0512 0.0000 9.5700
Ag 0.0000 0.0000 19.8469
Ag 2.0512 0.0000 34.2026
Ag 2.0512 2.0518 15.7622
Ag 2.0512 2.0518 32.0911
Ag 0.0000 2.0518 25.9993
Ag 0.0000 0.0000 32.0924
Ag 2.0512 2.0518 11.6565
Ag 0.0000 2.0518 30.0885
Ag 0.0000 2.0518 9.5711
Ag 2.0512 2.0518 23.9507
Ag 0.0000 0.0000 28.0546
Ag 0.0000 2.0518 38.2761
Tl 0.0000 0.0000 6.7647
Tl 2.0512 0.0000 39.0856
CELL_PARAMETERS angstrom
4.1024 0.0000 0.0000
0.0000 4.1036 0.0000
0.0000 0.0000 45.8507
! E above lowest polymorph   6 meV/atom
! Space group   Pmma (51)

=====

! SmAgSnTeSe2 (PBE, relaxed); values from VASP
&SYSTEM
  ibrav = 0, nat = 12, ntyp = 5
/
ATOMIC_SPECIES
Se 78.96 Se.upf
Ag 107.87 Ag.upf
Te 127.60 Te.upf
Sn 118.71 Sn.upf
Sm 150.36 Sm.upf
ATOMIC_POSITIONS angstrom
Se 2.0870 -5.1114 4.8890
Se 2.0870 -5.1114 0.7207
Se 2.0870 5.1114 10.4988
Se 2.0870 5.1114 6.3305
Ag 2.0870 6.7418 8.4146
Ag 2.0870 -6.7418 2.8049
Te 2.0870 1.5584 8.4146
Te 2.0870 -1.5584 2.8049
Sn 2.0870 3.0281 2.8049
Sn 2.0870 -3.0281 8.4146
Sm 2.0870 0.0000 5.6097
Sm 2.0870 0.0000 0.0000
CELL_PARAMETERS angstrom
2.0870 -7.0753 0.0000
2.0870 7.0753 0.0000
0.0000 0.0000 11.2195
! Space group   Cmcm (63)
! DFT total energy   -4.43 eV per atom